## CaTaCr2Ir (GGA-PBE)

Data for an optimized crystal structure of CaTaCr2Ir.

Properties
Total energy, eV/atom: -6.015
V, Å³ per cell: 91.9
Symmetry: No. 123
ρ, kg/m3: 9345
Density of states at the Fermi level, states/eV/f.u.: 4.20
Magnetic moment, μB/cell: 6.3

Cell and atoms, written as extended XYZ:
```
5
Lattice="4.373 0.000 0.000 0.000 4.805 0.000 0.000 0.000 4.373" Properties=species:S:1:pos:R:3 pbc="T T T"
Ca 0.000 0.000 0.000
Cr 0.000 0.000 2.187
Cr 2.187 0.000 0.000
Ta 0.000 2.403 0.000
Ir 2.187 2.403 2.187
```